Dy2AgGe3Pt4 | GGA-PBE | optimized geometry Values from VASP.

Computed properties:
Energy relative to the elements, eV/f.u.: -7.79
Calculated volume, Å³/cell: 189.8
Total magnetization, μB/cell: 0.00
Space group: P-4m2, No. 115

The structure in Quantum ESPRESSO input format:
```
&SYSTEM
  ibrav = 0, nat = 10, ntyp = 4
/
ATOMIC_SPECIES
Dy 162.50 Dy.upf
Ag 107.87 Ag.upf
Ge 72.64 Ge.upf
Pt 195.08 Pt.upf
CELL_PARAMETERS angstrom
4.055 0.000 0.000
0.000 4.055 0.000
0.000 0.000 11.539
ATOMIC_POSITIONS crystal
Dy 0.000 0.500 0.250
Dy 0.500 0.000 0.750
Ag 0.000 0.000 0.500
Ge 0.000 0.500 0.868
Ge 0.500 0.000 0.132
Ge 0.500 0.500 0.500
Pt 0.000 0.000 0.000
Pt 0.000 0.500 0.660
Pt 0.500 0.000 0.340
Pt 0.500 0.500 0.000
```